# BeZn4Pt

A relaxed structure of BeZn4Pt (PBE-GGA, Alexandria via LeMat-Bulk).

## Properties
- formation energy (eV/f.u.) = 0.0
- total DFT energy (no corrections) (eV per atom) = -2.483

Lattice parameters (Å, degrees): 4.8911 4.8911 4.8911 60.00 60.00 60.00
Last column: nearest neighbours and their distance in Å.
Element x y z (fractional)
Pt 0.0000 0.0000 0.0000  12 Zn 2.87, 4 Be 3.00
Zn 0.6248 0.1256 0.6248  6 Zn 2.44-2.45
Zn 0.1256 0.6248 0.6248  6 Zn 2.44-2.45
Zn 0.6248 0.6248 0.6248  6 Zn 2.44-2.45
Zn 0.6248 0.6248 0.1256  6 Zn 2.44-2.45
Be 0.2500 0.2500 0.2500  12 Zn 2.87, 4 Pt 3.00

# Dy2GeBr

A relaxed structure of Dy2GeBr (PBE-GGA, Alexandria via LeMat-Bulk).

## Properties
- polymorph energy (0 for the lowest one) (meV per atom) = 92
- total DFT energy (no corrections) (eV per atom) = -4.854
- formation energy from raw total energies (eV per atom) = -0.9805

Lattice parameters (Å, degrees): 4.1907 7.2974 7.9013 73.19 90.09 90.00
Last column: nearest neighbours and their distance in Å.
Element x y z (fractional)
Dy 0.5011 0.3103 0.9196  3 Ge 2.81-2.84, 2 Br 3.06-3.14
Dy 0.0644 0.8103 0.9194  3 Ge 2.81-2.84, 2 Br 3.06-3.14
Dy 0.0633 0.5974 0.5362  3 Ge 2.81-2.84, 1 Br 3.06
Dy 0.5000 0.0973 0.5363  3 Ge 2.81-2.84, 2 Br 3.06-3.14
Ge 0.5587 0.7037 0.7279  6 Dy 2.81-2.84
Ge 0.0057 0.2038 0.7279  6 Dy 2.81-2.84
Br 0.2832 0.9536 0.2278  4 Dy 3.06-3.14
Br 0.2806 0.4536 0.2278  4 Dy 3.06-3.14

# Be2CrB

A relaxed structure of Be2CrB (PBE-GGA, Alexandria via LeMat-Bulk).

## Properties
- formation energy (eV/f.u.) = 1.5
- total DFT energy (no corrections) (eV per atom) = -5.553

Lattice parameters (Å, degrees): 3.0009 3.0009 8.1881 79.44 79.44 90.00
Last column: nearest neighbours and their distance in Å.
Element x y z (fractional)
B 0.5000 0.5000 0.0000  4 Cr 2.12, 4 Be 2.24
B 0.2500 0.7500 0.5000  4 Cr 2.12, 4 Be 2.24
Be 0.8750 0.8710 0.7500  4 Be 2.10-2.14, 2 B 2.24, 2 Cr 2.25
Be 0.3750 0.3790 0.7500  4 Be 2.10-2.14, 2 B 2.24, 2 Cr 2.25
Be 0.1290 0.6250 0.2500  4 Be 2.10-2.14, 2 B 2.24, 2 Cr 2.25
Be 0.6210 0.1250 0.2500  4 Be 2.10-2.14, 2 B 2.24, 2 Cr 2.25
Cr 0.7500 0.2500 0.5000  4 B 2.12, 4 Be 2.25
Cr 0.0000 0.0000 0.0000  4 B 2.12, 4 Be 2.25

# PmTiIr

A relaxed structure of PmTiIr (PBE-GGA, Alexandria via LeMat-Bulk).

## Properties
- formation energy (eV/f.u.) = -2.0
- total DFT energy (no corrections) (eV per atom) = -7.836

Lattice parameters (Å, degrees): 4.4271 4.4271 6.6714 90.00 90.00 90.00
Last column: nearest neighbours and their distance in Å.
Element x y z (fractional)
Ir 0.0000 0.5000 0.3031  4 Ti 2.57
Ir 0.5000 0.0000 0.6969  4 Ti 2.57
Ti 0.5000 0.5000 0.5000  4 Ir 2.57
Ti 0.0000 0.0000 0.5000  4 Ir 2.57
Pm 0.0000 0.5000 0.8577  5 Ir 2.97-3.31, 4 Ti 3.26
Pm 0.5000 0.0000 0.1423  5 Ir 2.97-3.31, 4 Ti 3.26

# MgGaF

A relaxed structure of MgGaF (PBE-GGA, Alexandria via LeMat-Bulk).

## Properties
- polymorph energy (0 for the lowest one) (meV per atom) = 19
- total DFT energy (no corrections) (eV per atom) = -3.813
- formation energy from raw total energies (eV per atom) = -1.6490

Lattice parameters (Å, degrees): 3.5676 6.8398 3.8711 90.00 90.00 90.00
Last column: nearest neighbours and their distance in Å.
Element x y z (fractional)
Ga 0.0000 0.4939 0.5000  4 Ga 2.63, 2 Mg 2.94
Ga 0.5000 0.5061 0.0000  4 Ga 2.63, 2 Mg 2.94
F 0.5000 0.9996 0.0000  4 Mg 2.11-2.24
F 0.0000 0.0004 0.5000  4 Mg 2.11-2.24
Mg 0.0000 0.1639 0.0000  4 F 2.11-2.24
Mg 0.5000 0.8361 0.5000  4 F 2.11-2.24

# Ni2GeH2

A relaxed structure of Ni2GeH2 (PBE-GGA, Alexandria via LeMat-Bulk).

## Properties
- polymorph energy (0 for the lowest one) (meV per atom) = 0
- total DFT energy (no corrections) (eV per atom) = -4.583

Lattice parameters (Å, degrees): 2.8612 2.8612 5.6682 75.38 75.38 90.00
Last column: nearest neighbours and their distance in Å.
Element x y z (fractional)
H 0.7500 0.2500 0.5000  4 Ni 1.73
H 0.2500 0.7500 0.5000  4 Ni 1.73
Ge 0.0000 0.0000 0.0000  8 Ni 2.62, 4 Ge 2.86
Ni 0.6575 0.6575 0.6850  4 H 1.73
Ni 0.3425 0.3425 0.3150  4 H 1.73

# Na3SnHg

A relaxed structure of Na3SnHg (PBE-GGA, Alexandria via LeMat-Bulk).

## Properties
- formation energy (eV/f.u.) = 0.3
- polymorph energy (0 for the lowest one) (meV per atom) = 231
- total DFT energy (no corrections) (eV per atom) = -1.597

Lattice parameters (Å, degrees): 5.9918 5.9918 5.9918 90.00 90.00 90.00
Last column: nearest neighbours and their distance in Å.
Element x y z (fractional)
Na 0.0000 0.5000 0.0000  2 Sn 3.00
Na 0.5000 0.0000 0.0000  2 Sn 3.00
Na 0.0000 0.0000 0.5000  2 Sn 3.00
Sn 0.0000 0.0000 0.0000  6 Na 3.00
Hg 0.5000 0.5000 0.5000  12 Na 4.24

# Cs3AcBr6

A relaxed structure of Cs3AcBr6 (PBE-GGA, Alexandria via LeMat-Bulk).

## Properties
- polymorph energy (0 for the lowest one) (meV per atom) = 10
- total DFT energy (no corrections) (eV per atom) = -3.584
- formation energy from raw total energies (eV per atom) = -1.9135

Lattice parameters (Å, degrees): 8.9930 8.7749 8.7749 61.12 61.79 61.79
Last column: nearest neighbours and their distance in Å.
Element x y z (fractional)
Ac 0.5000 0.5000 0.5000  6 Br 3.04-3.05
Cs 0.0000 0.0000 0.0000  6 Br 3.58-3.68
Cs 0.7173 0.7541 0.7541  5 Br 3.66-3.74
Cs 0.2827 0.2459 0.2459  5 Br 3.66-3.74
Br 0.1544 0.7187 0.7187  1 Ac 3.05
Br 0.3514 0.6625 0.1867  1 Ac 3.04
Br 0.8456 0.2813 0.2813  1 Ac 3.05
Br 0.6486 0.8133 0.3375  1 Ac 3.04
Br 0.3514 0.1867 0.6625  1 Ac 3.04
Br 0.6486 0.3375 0.8133  1 Ac 3.04

# ScInS2Cl

A relaxed structure of ScInS2Cl (PBE-GGA, Alexandria via LeMat-Bulk).

## Properties
- polymorph energy (0 for the lowest one) (meV per atom) = 688
- total DFT energy (no corrections) (eV per atom) = -4.159
- formation energy from raw total energies (eV per atom) = -0.3242

Lattice parameters (Å, degrees): 5.1230 5.1230 4.8846 90.00 90.00 90.00
Last column: nearest neighbours and their distance in Å.
Element x y z (fractional)
In 0.0000 0.0000 0.0000  2 Cl 2.44, 4 S 2.56
Sc 0.5000 0.5000 0.5000  8 S 3.54, 4 Cl 3.62
S 0.0000 0.5000 0.0000  2 In 2.56
S 0.5000 0.0000 0.0000  2 In 2.56
Cl 0.0000 0.0000 0.5000  2 In 2.44

# LaAgPt

A relaxed structure of LaAgPt (PBE-GGA, Alexandria via LeMat-Bulk).

## Properties
- formation energy (eV/f.u.) = -2.0
- polymorph energy (0 for the lowest one) (meV per atom) = 97
- total DFT energy (no corrections) (eV per atom) = -5.282

Lattice parameters (Å, degrees): 4.6894 4.6894 3.7367 90.00 90.00 120.00
Last column: nearest neighbours and their distance in Å.
Element x y z (fractional)
La 0.6667 0.3333 0.3333  6 Pt 3.29, 6 Ag 3.29
Ag 0.0000 0.0000 0.8327  3 Pt 2.71
Pt 0.3333 0.6667 0.8341  3 Ag 2.71

# BeTlZnIrBr

A relaxed structure of BeTlZnIrBr (PBE-GGA, Alexandria via LeMat-Bulk).

## Properties
- polymorph energy (0 for the lowest one) (meV per atom) = 64
- total DFT energy (no corrections) (eV per atom) = -3.684
- formation energy from raw total energies (eV per atom) = -0.1043

Lattice parameters (Å, degrees): 8.1049 3.5908 8.0243 90.00 108.52 90.00
Last column: nearest neighbours and their distance in Å.
Element x y z (fractional)
Br 0.6897 0.5000 0.7617  1 Be 2.15
Br 0.6897 0.0000 0.2617  1 Be 2.15
Ir 0.1112 0.0000 0.7156  2 Be 2.28, 1 Zn 2.51
Ir 0.1112 0.5000 0.2156  2 Be 2.28, 1 Zn 2.51
Tl 0.3425 0.0000 0.4814  3 Ir 2.96-3.05, 1 Be 3.14, 2 Zn 3.28
Tl 0.3425 0.5000 0.9814  3 Ir 2.96-3.05, 1 Be 3.14, 2 Zn 3.28
Be 0.9497 0.5000 0.7475  1 Br 2.15, 2 Ir 2.28, 1 Zn 2.35
Be 0.9497 0.0000 0.2475  1 Br 2.15, 2 Ir 2.28, 1 Zn 2.35
Zn 0.0015 0.0000 0.9755  3 Be 2.35-2.50, 3 Ir 2.51-2.58
Zn 0.0015 0.5000 0.4755  3 Be 2.35-2.50, 3 Ir 2.51-2.58

# K2SrYSb

A relaxed structure of K2SrYSb (PBE-GGA, Alexandria via LeMat-Bulk).

## Properties
- total DFT energy (no corrections) (eV per atom) = -2.630
- formation energy from raw total energies (eV per atom) = 0.2629

Lattice parameters (Å, degrees): 6.5844 6.3718 6.5844 90.00 90.00 90.00
Last column: nearest neighbours and their distance in Å.
Element x y z (fractional)
K 0.5000 0.0000 0.0000  2 Sb 3.29
K 0.0000 0.0000 0.5000  2 Sb 3.29
Sr 0.0000 0.5000 0.0000  2 Sb 3.19
Y 0.5000 0.5000 0.5000  8 K 4.58, 4 Sr 4.66
Sb 0.0000 0.0000 0.0000  2 Sr 3.19, 4 K 3.29